Density functional theory data (PBE) for an optimized crystal structure of Y2AlB.

The energy above the most stable polymorph in this dataset is 0 meV/atom. Its formation energy is 113.3 meV per atom. The calculation puts the density of states at the Fermi level at 1.408 states/eV/f.u.

It has space group Fm-3m (No. 225), with a = 6.880 Å, b = 6.880 Å, c = 6.880 Å, α = 90.00°, β = 90.00° and γ = 90.00°. Symmetry generates all atoms from Y at (0.250, 0.250, 0.250), Al at (0.000, 0.000, 0.000) and B at (0.000, 0.000, 0.500).



Density functional theory data (PBE) for an optimized crystal structure of HfPaTiW.

Its formation energy is 76.5 meV per atom. The calculation puts the density of states at the Fermi level at 3.601 states/eV/f.u.

It has space group F-43m (No. 216), with a = 6.818 Å, b = 6.818 Å, c = 6.818 Å, α = 90.00°, β = 90.00° and γ = 90.00°. Symmetry generates all atoms from Hf at (0.000, 0.000, 0.000), Pa at (0.000, 0.000, 0.500), Ti at (0.250, 0.250, 0.750) and W at (0.250, 0.250, 0.250).